[1]
Density functional theory data (GGA-PBE) for crystalline Pm3Pr3TmTe8 at its relaxed geometry.

The value obtained for the formation energy from raw total energies is -1438 meV/atom.

It has space group R-3m (No. 166, hexagonal axes), with a = 8.9377 Å, b = 8.9377 Å, c = 22.0018 Å, α = 90.00°, β = 90.00° and γ = 120.00°. The asymmetric unit holds Pm at (0.0000, 0.5000, 0.0000), Pr at (0.0000, 0.5000, 0.5000), Tm at (0.0000, 0.0000, 0.0000), Te at (0.0000, 0.0000, 0.2516) and Te at (0.0022, 0.5011, 0.7479).

[2]
Density functional theory data (GGA-PBE) for crystalline TiAlGa at its relaxed geometry.

Its formation energy is -0.0255 eV/atom.

It has space group F-43m (No. 216), with a = 6.003 Å, b = 6.003 Å, c = 6.003 Å, α = 90.00°, β = 90.00° and γ = 90.00°. The asymmetric unit holds Ti at (0.000, 0.000, 0.000), Al at (0.000, 0.000, 0.500) and Ga at (0.250, 0.250, 0.250).

no.,calculated total energy (Ry/atom)
1,-0.391
2,-0.361